Record 1
! SrRuI2, optimized geometry, DFT PBE-GGA; values from VASP
! - Energy above the lowest structure with this stoichiometry: 0.00 kJ/mol of atoms
! - D(E_F): 2.7 states/eV/f.u.
! - Space group: I-42d (122)
! - Mass density: 5222 kg/m³
! - Formation energy (no corrections): -78.8 meV/atom
&SYSTEM
  ibrav = 0, nat = 8, ntyp = 3
/
ATOMIC_SPECIES
I 126.90 I.upf
Sr 87.62 Sr.upf
Ru 101.07 Ru.upf
CELL_PARAMETERS angstrom
-1.701 1.054 -5.584
4.983 -2.525 -1.995
-2.042 -7.832 -4.006
ATOMIC_POSITIONS crystal
I 0.044 0.625 0.250
I 0.375 0.294 0.750
I 0.706 0.125 0.250
I 0.875 0.956 0.750
Sr 0.500 0.500 0.000
Sr 0.250 0.750 0.500
Ru 0.000 0.000 0.000
Ru 0.750 0.250 0.500

Record 2
! SrRuI3, optimized geometry, DFT PBE-GGA; values from VASP
! - Energy above the lowest structure with this stoichiometry: 55.95 kJ/mol of atoms
! - D(E_F): 0.2 states/eV/f.u.
! - Space group: Pm-3m (221)
! - Mass density: 3723 kg/m³
! - Formation energy (no corrections): 183.5 meV/atom
&SYSTEM
  ibrav = 0, nat = 5, ntyp = 3
/
ATOMIC_SPECIES
Ru 101.07 Ru.upf
I 126.90 I.upf
Sr 87.62 Sr.upf
CELL_PARAMETERS angstrom
6.333 0.000 0.000
0.000 6.333 0.000
0.000 0.000 6.333
ATOMIC_POSITIONS crystal
Ru 0.500 0.500 0.500
I 0.000 0.000 0.500
I 0.000 0.500 0.000
I 0.500 0.000 0.000
Sr 0.000 0.000 0.000

Record 3
! SrRuI3, optimized geometry, DFT PBE-GGA; values from VASP
! - Energy above the lowest structure with this stoichiometry: 0.00 kJ/mol of atoms
! - D(E_F): 2.2 states/eV/f.u.
! - Space group: Pm-3m (221)
! - Mass density: 5833 kg/m³
! - Formation energy (no corrections): -396.5 meV/atom
&SYSTEM
  ibrav = 0, nat = 5, ntyp = 3
/
ATOMIC_SPECIES
Sr 87.62 Sr.upf
I 126.90 I.upf
Ru 101.07 Ru.upf
CELL_PARAMETERS angstrom
5.452 0.000 0.000
0.000 5.452 0.000
0.000 0.000 5.452
ATOMIC_POSITIONS crystal
Sr 0.500 0.500 0.500
I 0.500 0.000 0.000
I 0.000 0.500 0.000
I 0.000 0.000 0.500
Ru 0.000 0.000 0.000

Record 4
! Sr2RuI, optimized geometry, DFT PBE-GGA; values from VASP
! - Energy above the lowest structure with this stoichiometry: 8.74 kJ/mol of atoms
! - D(E_F): 3.0 states/eV/f.u.
! - Space group: I-42d (122)
! - Mass density: 5224 kg/m³
! - Formation energy (no corrections): 115.4 meV/atom
&SYSTEM
  ibrav = 0, nat = 8, ntyp = 3
/
ATOMIC_SPECIES
Sr 87.62 Sr.upf
Ru 101.07 Ru.upf
I 126.90 I.upf
CELL_PARAMETERS angstrom
8.468 0.000 0.000
0.000 8.468 0.000
4.234 4.234 3.575
ATOMIC_POSITIONS crystal
Sr 0.569 0.125 0.250
Sr 0.375 0.431 0.750
Sr 0.181 0.625 0.250
Sr 0.875 0.819 0.750
Ru 0.500 0.500 0.000
Ru 0.250 0.750 0.500
I 0.000 0.000 0.000
I 0.750 0.250 0.500

Record 5
! SrTe2RuI, optimized geometry, DFT PBE-GGA; values from VASP
! - Energy above the lowest structure with this stoichiometry: 0.00 kJ/mol of atoms
! - D(E_F): 6.3 states/eV/f.u.
! - Space group: P4/mmm (123)
! - Mass density: 6021 kg/m³
! - Formation energy (no corrections): -333.6 meV/atom
&SYSTEM
  ibrav = 0, nat = 5, ntyp = 4
/
ATOMIC_SPECIES
I 126.90 I.upf
Te 127.60 Te.upf
Ru 101.07 Ru.upf
Sr 87.62 Sr.upf
CELL_PARAMETERS angstrom
5.294 0.000 0.000
0.000 5.294 0.000
0.000 0.000 5.618
ATOMIC_POSITIONS crystal
I 0.000 0.000 0.500
Te 0.500 0.000 0.000
Te 0.000 0.500 0.000
Ru 0.000 0.000 0.000
Sr 0.500 0.500 0.500

Record 6
! SrTe2RuI, optimized geometry, DFT PBE-GGA; values from VASP
! - Energy above the lowest structure with this stoichiometry: 115.25 kJ/mol of atoms
! - D(E_F): 9.5 states/eV/f.u.
! - Space group: P4/mmm (123)
! - Mass density: 4054 kg/m³
! - Formation energy (no corrections): 860.8 meV/atom
&SYSTEM
  ibrav = 0, nat = 5, ntyp = 4
/
ATOMIC_SPECIES
Te 127.60 Te.upf
I 126.90 I.upf
Ru 101.07 Ru.upf
Sr 87.62 Sr.upf
CELL_PARAMETERS angstrom
6.171 0.000 0.000
0.000 6.171 0.000
0.000 0.000 6.139
ATOMIC_POSITIONS crystal
Te 0.000 0.500 0.000
Te 0.500 0.000 0.000
I 0.000 0.000 0.500
Ru 0.500 0.500 0.500
Sr 0.000 0.000 0.000

Record 7
! SrZrRu2I, optimized geometry, DFT PBE-GGA; values from VASP
! - D(E_F): 6.2 states/eV/f.u.
! - Space group: P4/mmm (123)
! - Mass density: 6523 kg/m³
! - Formation energy (no corrections): 970.8 meV/atom
&SYSTEM
  ibrav = 0, nat = 5, ntyp = 4
/
ATOMIC_SPECIES
Zr 91.22 Zr.upf
Ru 101.07 Ru.upf
I 126.90 I.upf
Sr 87.62 Sr.upf
CELL_PARAMETERS angstrom
4.972 0.000 0.000
0.000 5.230 0.000
0.000 0.000 4.972
ATOMIC_POSITIONS crystal
Zr 0.000 0.500 0.000
Ru 0.000 0.000 0.500
Ru 0.500 0.000 0.000
I 0.000 0.000 0.000
Sr 0.500 0.500 0.500

Record 8
! TaRu2I, optimized geometry, DFT PBE-GGA; values from VASP
! - Energy above the lowest structure with this stoichiometry: 6.86 kJ/mol of atoms
! - D(E_F): 2.4 states/eV/f.u.
! - Space group: I-42d (122)
! - Mass density: 8626 kg/m³
! - Formation energy (no corrections): 844.7 meV/atom
&SYSTEM
  ibrav = 0, nat = 8, ntyp = 3
/
ATOMIC_SPECIES
Ru 101.07 Ru.upf
Ta 180.95 Ta.upf
I 126.90 I.upf
CELL_PARAMETERS angstrom
-1.066 4.748 3.016
-5.341 -1.818 0.974
-1.356 -1.288 6.984
ATOMIC_POSITIONS crystal
Ru 0.645 0.125 0.250
Ru 0.875 0.895 0.750
Ru 0.375 0.355 0.750
Ru 0.105 0.625 0.250
Ta 0.000 0.000 0.000
Ta 0.750 0.250 0.500
I 0.500 0.500 0.000
I 0.250 0.750 0.500

Record 9
! Ta3RuI, optimized geometry, DFT PBE-GGA; values from VASP
! - Energy above the lowest structure with this stoichiometry: 118.49 kJ/mol of atoms
! - D(E_F): 10.3 states/eV/f.u.
! - Space group: Pm-3m (221)
! - Mass density: 10873 kg/m³
! - Formation energy (no corrections): 2472.5 meV/atom
&SYSTEM
  ibrav = 0, nat = 5, ntyp = 3
/
ATOMIC_SPECIES
Ru 101.07 Ru.upf
I 126.90 I.upf
Ta 180.95 Ta.upf
CELL_PARAMETERS angstrom
4.901 0.000 0.000
0.000 4.901 0.000
0.000 0.000 4.901
ATOMIC_POSITIONS crystal
Ru 0.500 0.500 0.500
I 0.000 0.000 0.000
Ta 0.500 0.000 0.000
Ta 0.000 0.000 0.500
Ta 0.000 0.500 0.000

Record 10
! Ta3RuI, optimized geometry, DFT PBE-GGA; values from VASP
! - Energy above the lowest structure with this stoichiometry: 0.00 kJ/mol of atoms
! - D(E_F): 7.1 states/eV/f.u.
! - Space group: Pm-3m (221)
! - Mass density: 11000 kg/m³
! - Formation energy (no corrections): 1244.4 meV/atom
&SYSTEM
  ibrav = 0, nat = 5, ntyp = 3
/
ATOMIC_SPECIES
Ta 180.95 Ta.upf
Ru 101.07 Ru.upf
I 126.90 I.upf
CELL_PARAMETERS angstrom
4.882 0.000 0.000
0.000 4.882 0.000
0.000 0.000 4.882
ATOMIC_POSITIONS crystal
Ta 0.000 0.500 0.000
Ta 0.000 0.000 0.500
Ta 0.500 0.000 0.000
Ru 0.000 0.000 0.000
I 0.500 0.500 0.500

Record 11
! TaRu2I, optimized geometry, DFT PBE-GGA; values from VASP
! - Energy above the lowest structure with this stoichiometry: 0.00 kJ/mol of atoms
! - D(E_F): 6.2 states/eV/f.u.
! - Space group: Fm-3m (225)
! - Mass density: 12053 kg/m³
! - Formation energy (no corrections): 773.5 meV/atom
&SYSTEM
  ibrav = 0, nat = 4, ntyp = 3
/
ATOMIC_SPECIES
Ta 180.95 Ta.upf
Ru 101.07 Ru.upf
I 126.90 I.upf
CELL_PARAMETERS angstrom
-3.833 -2.600 -0.080
-3.357 0.726 3.108
-4.029 1.855 -1.334
ATOMIC_POSITIONS crystal
Ta 0.500 0.500 0.500
Ru 0.750 0.750 0.750
Ru 0.250 0.250 0.250
I 0.000 0.000 0.000

Record 12
! TaTeRuI2, optimized geometry, DFT PBE-GGA; values from VASP
! - Energy above the lowest structure with this stoichiometry: 0.00 kJ/mol of atoms
! - D(E_F): 3.9 states/eV/f.u.
! - Space group: P4/mmm (123)
! - Mass density: 6628 kg/m³
! - Formation energy (no corrections): 1173.8 meV/atom
&SYSTEM
  ibrav = 0, nat = 5, ntyp = 4
/
ATOMIC_SPECIES
Ru 101.07 Ru.upf
Ta 180.95 Ta.upf
Te 127.60 Te.upf
I 126.90 I.upf
CELL_PARAMETERS angstrom
-0.523 1.918 -5.167
-5.189 1.576 1.110
1.818 4.848 1.616
ATOMIC_POSITIONS crystal
Ru 0.500 0.500 0.500
Ta 0.000 0.000 0.000
Te 0.000 0.000 0.500
I 0.000 0.500 0.000
I 0.500 0.000 0.000